1.
A relaxed Rb2In2Te3 crystal, computed with GGA-PBE.

Geometry as POSCAR:
```
Rb2In2Te3
1.0
4.5452 0.0000 0.0000
-2.2479 7.5734 0.0000
-0.0111 -1.8350 8.9138
Rb In Te
2 2 3
direct
0.1310 0.2637 0.3643
0.8690 0.7363 0.6357
0.3668 0.7343 0.0530
0.6332 0.2657 0.9470
0.0000 0.0000 0.0000
0.2173 0.4302 0.7731
0.7827 0.5698 0.2269
```

Computed properties:
The calculation puts the uncorrected formation energy at -554 meV per atom. The calculation puts the size of the total moment at 0.000 μB per atom. Its density of states at the Fermi level is 0.187 states/eV per atom. The space group is P-1 (2). The calculation puts the final energy at -20.717 eV per cell.

2.
A relaxed Pr6CuSe5 crystal, computed with GGA-PBE.

Geometry as POSCAR:
```
Pr6CuSe5
1.0
3.6944 -6.3939 0.0000
3.6944 6.3939 0.0000
-2.4709 0.0000 6.9554
Pr Cu Se
6 1 5
direct
0.0810 0.4104 0.7461
0.2455 0.2455 0.2522
0.4104 0.0810 0.7461
0.5896 0.9190 0.2539
0.7545 0.7545 0.7478
0.9190 0.5896 0.2539
0.0000 0.0000 0.5000
0.1699 0.8301 0.0000
0.3346 0.6654 0.5000
0.5000 0.5000 0.0000
0.6654 0.3346 0.5000
0.8301 0.1699 0.0000
```

Computed properties:
The calculation puts the uncorrected formation energy at -1576 meV per atom. The calculation puts the size of the total moment at 0.000 μB per atom. Its density of states at the Fermi level is 0.450 states/eV per atom. The space group is C2/m (12). The calculation puts the final energy at -69.112 eV per cell.

3.
A relaxed TmScAgRh crystal, computed with GGA-PBE.

Geometry as POSCAR:
```
TmScAgRh
1.0
6.8144 0.0000 0.0000
0.0000 6.8144 0.0000
0.0000 0.0000 6.8144
Tm Sc Ag Rh
4 4 4 4
direct
0.0000 0.0000 0.0000
0.0000 0.5000 0.5000
0.5000 0.0000 0.5000
0.5000 0.5000 0.0000
0.0000 0.0000 0.5000
0.0000 0.5000 0.0000
0.5000 0.0000 0.0000
0.5000 0.5000 0.5000
0.2500 0.2500 0.2500
0.2500 0.7500 0.7500
0.7500 0.2500 0.7500
0.7500 0.7500 0.2500
0.2500 0.2500 0.7500
0.2500 0.7500 0.2500
0.7500 0.2500 0.2500
0.7500 0.7500 0.7500
```

Computed properties:
The value obtained for the energy relative to the elements is -0.602 eV/atom. The calculation puts the size of the total moment at 0.000 μB per atom. Its density of states at the Fermi level is 0.866 states/eV per atom. The space group is F-43m (216). The calculation puts the final energy at -93.650 eV per cell.